[1]
A plane-wave DFT calculation with PBE-GGA was carried out for an optimized crystal structure of SiSb3Pd.

Values from the calculation:
Energy relative to the lowest polymorph listed for this composition = 0.00 eV/f.u.
Uncorrected formation energy = 64 kJ/mol of atoms
DOS at the Fermi energy = 0.6884 states/eV per atom

Lattice parameters (Å, degrees): 5.216 5.216 5.216 90.00 90.00 90.00
Atoms (fractional coordinates):
1 Si 0.000 0.000 0.000
2 Sb 0.000 0.500 0.500
3 Sb 0.500 0.000 0.500
4 Sb 0.500 0.500 0.000
5 Pd 0.500 0.500 0.500

---

[2]
A plane-wave DFT calculation with PBE-GGA was carried out for an optimized crystal structure of NbPt3I.

Values from the calculation:
Energy relative to the lowest polymorph listed for this composition = 1.74 eV/f.u.
Uncorrected formation energy = 131 kJ/mol of atoms
DOS at the Fermi energy = 0.9300 states/eV per atom

Lattice parameters (Å, degrees): 4.920 4.920 4.920 90.00 90.00 90.00
Atoms (fractional coordinates):
1 Nb 0.000 0.000 0.000
2 Pt 0.000 0.500 0.500
3 Pt 0.500 0.000 0.500
4 Pt 0.500 0.500 0.000
5 I 0.500 0.500 0.500